Material: TlH3Pd
Method: DFT, GGA-PBE
State: relaxed

Summary:
Offset from the most stable computed form in meV/atom: 0
V in Å³ per atom: 11.037
VASP energy in eV per atom: -3.373

POSCAR file:
```
TlH3Pd
1.0
3.807 0.000 0.000
0.000 3.807 0.000
0.000 0.000 3.807
Tl H Pd
1 3 1
direct
0.000 0.000 0.000
0.000 0.500 0.500
0.500 0.000 0.500
0.500 0.500 0.000
0.500 0.500 0.500
```